Crystalline CaTe5 at its relaxed geometry, computed with PBE.

The structure in extended XYZ format:
```
6
Lattice="4.2044 0.0000 0.0000 0.0000 2.1267 11.5869 0.0000 -2.1267 11.5869" Properties=species:S:1:pos:R:3 pbc="T T T"
Ca 0.0000 0.0000 0.0000
Te 0.0000 0.0000 8.9063
Te 0.0000 0.0000 15.5716
Te 2.1022 0.0000 4.7957
Te 2.1022 0.0000 12.4814
Te 2.1022 0.0000 19.8795
```

Calculated values
Crystal system: orthorhombic
Magnetization (μB per formula unit): 0.00
Calculated total energy (eV per atom): -3.326
SG: No. 38